Sm5Y12Pu | PBE-GGA | relaxed

Cell and atoms, written as POSCAR:
```
Sm5Y12Pu
1.0
15.214 -0.009 -0.002
7.606 7.592 0.019
0.001 -0.013 5.057
Y Sm Pu
12 5 1
Cartesian
10.113 7.583 2.547
20.314 7.577 2.546
2.521 2.509 0.006
10.128 5.067 5.069
12.679 5.046 2.540
10.142 2.522 2.534
5.075 -0.016 5.056
12.693 2.502 0.005
10.141 -0.006 -0.001
20.300 5.074 0.011
5.073 2.525 2.534
17.750 5.045 2.540
7.608 2.513 5.062
7.607 5.092 2.541
15.213 5.056 0.012
7.608 -0.011 2.527
15.214 2.477 2.533
7.606 7.577 5.076
```

Output
- density of states at the Fermi level (states/eV/cell) = 32.285
- mass density (g cm⁻³) = 5.86
- final energy (eV per atom) = -6.3762
- calculated formation energy (eV/atom) = 0.04
- crystal system = orthorhombic
- total magnetic moment (μB/f.u.) = 6.01



Ca2InPO6 | PBE-GGA | relaxed

Cell and atoms, written as POSCAR:
```
Ca2InPO6
1.0
-0.372 -4.593 -0.387
4.376 -0.588 2.763
-2.793 -0.144 4.393
O Ca In P
6 2 1 1
Cartesian
0.972 -3.807 5.310
-1.480 -3.478 3.762
0.085 -3.397 1.300
-0.097 -1.200 -0.101
2.538 -3.726 2.848
0.742 -0.968 3.527
2.177 -0.423 1.370
-1.407 -0.201 2.186
0.576 -3.026 3.354
-0.224 -2.758 -0.233
```

Output
- mass density (g cm⁻³) = 4.26
- final energy (eV per atom) = -6.4752
- crystal system = tetragonal
- total magnetic moment (μB/f.u.) = 0.00
- E_form (uncorrected) (eV/f.u.) = -22.851



ZrCuNi | PBE-GGA | relaxed

Cell and atoms, written as POSCAR:
```
ZrCuNi
1.0
2.917 0.000 0.000
-1.458 2.526 0.000
0.000 0.000 6.354
Cu Ni Zr
1 1 1
Cartesian
0.000 0.000 0.145
0.000 1.684 2.026
1.458 0.842 4.183
```

Output
- density of states at the Fermi level (states/eV/cell) = 4.208
- mass density (g cm⁻³) = 7.57
- energy above the lowest structure with this stoichiometry (eV/atom) = 0.439
- final energy (eV per atom) = -5.9908
- calculated formation energy (eV/atom) = 0.15
- crystal system = trigonal
- total magnetic moment (μB/f.u.) = 0.00



CeTh2ReC4 | PBE-GGA | relaxed

Cell and atoms, written as POSCAR:
```
CeTh2ReC4
1.0
3.615 0.000 0.000
-1.807 6.150 0.000
0.000 0.000 12.814
C Th Ce Re
8 4 2 2
Cartesian
0.000 5.101 9.610
1.807 2.860 11.084
0.000 3.291 1.730
1.807 1.049 3.203
0.000 3.291 4.677
0.000 0.000 6.407
1.807 2.860 8.137
0.000 0.000 0.000
1.807 1.633 5.890
0.000 4.517 12.297
0.000 4.517 6.924
1.807 1.633 0.517
1.807 4.987 3.203
0.000 1.164 9.610
0.000 2.072 3.203
1.807 4.078 9.610
```

Output
- density of states at the Fermi level (states/eV/cell) = 17.966
- mass density (g cm⁻³) = 9.78
- final energy (eV per atom) = -8.8091
- calculated formation energy (eV/atom) = -0.04
- crystal system = orthorhombic
- total magnetic moment (μB/f.u.) = 1.01